# 1
This record from Alexandria describes a geometry-optimized Sc2GeS structure. The functional is PBE-GGA.

a b c (Å): 3.719 3.719 6.995
angles (deg): 74.58 74.58 60.00
Element x y z (fractional)
Sc (0.082, 0.082, 0.753)
Sc (0.252, 0.252, 0.243)
Ge (0.668, 0.668, 0.996)
S (0.498, 0.498, 0.507)

Summary:
* uncorrected formation energy: -1.20 eV per atom
* density of states at the Fermi level: 2.40 states/eV/cell
* SG: No. 160

***

# 2
This record from Alexandria describes a geometry-optimized Sc6Ge2Se3S structure. The functional is PBE-GGA.

a b c (Å): 3.845 7.767 8.652
angles (deg): 103.58 102.84 90.00
Element x y z (fractional)
Sc (0.337, 0.909, 0.675)
Sc (0.668, 0.576, 0.336)
Sc (0.663, 0.091, 0.325)
Sc (0.005, 0.239, 0.010)
Sc (0.995, 0.761, 0.990)
Sc (0.332, 0.424, 0.664)
Ge (0.833, 0.668, 0.666)
Ge (0.167, 0.332, 0.334)
Se (0.500, 0.500, 0.000)
Se (0.835, 0.165, 0.669)
Se (0.165, 0.835, 0.331)
S (0.500, 0.000, 0.000)

Summary:
* uncorrected formation energy: -1.43 eV per atom
* density of states at the Fermi level: 4.56 states/eV/cell
* SG: No. 12

***

# 3
This record from Alexandria describes a geometry-optimized Sc8Ge3Se3S structure. The functional is PBE-GGA.

a b c (Å): 7.680 7.680 7.696
angles (deg): 119.93 90.00 120.00
Element x y z (fractional)
Sc (0.253, 0.507, 0.260)
Sc (0.747, 0.493, 0.740)
Sc (0.754, 0.509, 0.262)
Sc (0.246, 0.491, 0.738)
Sc (0.754, 0.008, 0.262)
Sc (0.246, 0.992, 0.738)
Sc (0.254, 0.008, 0.262)
Sc (0.746, 0.992, 0.738)
Ge (0.500, 0.000, 0.500)
Ge (0.500, 0.500, 0.500)
Ge (0.000, 0.500, 0.500)
Se (0.000, 0.000, 0.000)
Se (0.000, 0.500, 0.000)
Se (0.500, 0.500, 0.000)
S (0.000, 0.000, 0.500)

Summary:
* uncorrected formation energy: -1.22 eV per atom
* density of states at the Fermi level: 6.82 states/eV/cell
* SG: No. 166

***

# 4
This record from Alexandria describes a geometry-optimized Sc6GeSe3S2 structure. The functional is PBE-GGA.

a b c (Å): 6.583 6.583 6.688
angles (deg): 99.45 99.45 119.95
Element x y z (fractional)
Sc (0.924, 0.587, 0.771)
Sc (0.739, 0.739, 0.228)
Sc (0.076, 0.413, 0.229)
Sc (0.587, 0.924, 0.771)
Sc (0.261, 0.261, 0.772)
Sc (0.413, 0.076, 0.229)
Ge (0.000, 0.000, 0.000)
Se (0.166, 0.834, 0.500)
Se (0.834, 0.166, 0.500)
Se (0.500, 0.500, 0.500)
S (0.333, 0.667, 0.000)
S (0.667, 0.333, 0.000)

Summary:
* uncorrected formation energy: -1.60 eV per atom
* density of states at the Fermi level: 6.26 states/eV/cell
* SG: No. 12

***

# 5
This record from Alexandria describes a geometry-optimized Sc8Ge3Se4S structure. The functional is PBE-GGA.

a b c (Å): 7.718 7.769 7.718
angles (deg): 119.78 120.00 90.00
Element x y z (fractional)
Sc (0.246, 0.735, 0.989)
Sc (0.246, 0.735, 0.491)
Sc (0.253, 0.260, 0.507)
Sc (0.744, 0.735, 0.989)
Sc (0.256, 0.265, 0.011)
Sc (0.747, 0.740, 0.493)
Sc (0.754, 0.265, 0.509)
Sc (0.754, 0.265, 0.011)
Ge (0.500, 0.500, 0.000)
Ge (0.500, 0.500, 0.500)
Ge (0.000, 0.500, 0.500)
Se (0.500, 0.000, 0.000)
Se (0.500, 0.000, 0.500)
Se (0.000, 0.000, 0.000)
Se (0.000, 0.000, 0.500)
S (0.000, 0.500, 0.000)

Summary:
* uncorrected formation energy: -1.40 eV per atom
* density of states at the Fermi level: 2.84 states/eV/cell
* SG: No. 166

***

# 6
This record from Alexandria describes a geometry-optimized Sc6Si2GeS3 structure. The functional is PBE-GGA.

a b c (Å): 3.758 7.657 8.532
angles (deg): 104.94 102.72 90.00
Element x y z (fractional)
Sc (0.332, 0.916, 0.664)
Sc (0.667, 0.583, 0.333)
Sc (0.668, 0.084, 0.336)
Sc (0.000, 0.253, 0.999)
Sc (0.000, 0.747, 0.001)
Sc (0.333, 0.417, 0.667)
Si (0.833, 0.667, 0.667)
Si (0.167, 0.333, 0.333)
Ge (0.500, 0.000, 0.000)
S (0.500, 0.500, 0.000)
S (0.833, 0.167, 0.667)
S (0.167, 0.833, 0.333)

Summary:
* uncorrected formation energy: -1.29 eV per atom
* density of states at the Fermi level: 4.50 states/eV/cell
* SG: No. 12

***

# 7
This record from Alexandria describes a geometry-optimized Sc6SnGe2S3 structure. The functional is PBE-GGA.

a b c (Å): 3.784 7.833 8.697
angles (deg): 105.82 102.57 90.00
Element x y z (fractional)
Sc (0.325, 0.917, 0.650)
Sc (0.669, 0.580, 0.338)
Sc (0.675, 0.083, 0.350)
Sc (0.997, 0.272, 0.993)
Sc (0.003, 0.728, 0.007)
Sc (0.331, 0.420, 0.662)
Sn (0.500, 0.000, 0.000)
Ge (0.836, 0.673, 0.672)
Ge (0.164, 0.327, 0.328)
S (0.500, 0.500, 0.000)
S (0.833, 0.172, 0.666)
S (0.167, 0.828, 0.334)

Summary:
* uncorrected formation energy: -1.27 eV per atom
* density of states at the Fermi level: 4.43 states/eV/cell
* SG: No. 12

***

# 8
This record from Alexandria describes a geometry-optimized Sr2ScGeS5 structure. The functional is PBE-GGA.

a b c (Å): 4.117 8.866 12.031
angles (deg): 90.00 90.00 103.42
Element x y z (fractional)
Sr (0.871, 0.742, 0.820)
Sr (0.120, 0.239, 0.683)
Sr (0.129, 0.258, 0.320)
Sr (0.880, 0.761, 0.183)
Sc (0.790, 0.581, 0.526)
Sc (0.210, 0.419, 0.026)
Ge (0.557, 0.115, 0.944)
Ge (0.443, 0.885, 0.444)
S (0.352, 0.704, 0.005)
S (0.686, 0.372, 0.877)
S (0.499, 0.999, 0.775)
S (0.294, 0.588, 0.662)
S (0.950, 0.901, 0.533)
S (0.648, 0.296, 0.505)
S (0.314, 0.628, 0.377)
S (0.501, 0.001, 0.275)
S (0.706, 0.412, 0.162)
S (0.050, 0.099, 0.033)

Summary:
* uncorrected formation energy: -1.55 eV per atom
* density of states at the Fermi level: 2.67 states/eV/cell
* SG: No. 36

***

# 9
This record from Alexandria describes a geometry-optimized TbScGeS structure. The functional is PBE-GGA.

a b c (Å): 3.922 3.922 6.878
angles (deg): 73.44 73.44 60.00
Element x y z (fractional)
Tb (0.943, 0.943, 0.170)
Sc (0.444, 0.444, 0.667)
Ge (0.699, 0.699, 0.902)
S (0.189, 0.189, 0.432)

Summary:
* uncorrected formation energy: -1.38 eV per atom
* density of states at the Fermi level: 1.46 states/eV/cell
* SG: No. 160

***

# 10
This record from Alexandria describes a geometry-optimized Sc6Ge2Te3S structure. The functional is PBE-GGA.

a b c (Å): 3.967 8.102 9.011
angles (deg): 104.57 102.72 90.00
Element x y z (fractional)
Sc (0.342, 0.900, 0.685)
Sc (0.673, 0.563, 0.346)
Sc (0.658, 0.100, 0.315)
Sc (0.009, 0.226, 0.017)
Sc (0.991, 0.774, 0.983)
Sc (0.327, 0.437, 0.654)
Ge (0.834, 0.670, 0.667)
Ge (0.166, 0.330, 0.333)
Te (0.500, 0.500, 0.000)
Te (0.834, 0.167, 0.668)
Te (0.166, 0.833, 0.332)
S (0.500, 0.000, 0.000)

Summary:
* uncorrected formation energy: -1.20 eV per atom
* density of states at the Fermi level: 4.99 states/eV/cell
* SG: No. 12

***

# 11
This record from Alexandria describes a geometry-optimized Sc8Ge3Te4S structure. The functional is PBE-GGA.

a b c (Å): 7.963 8.107 7.963
angles (deg): 119.42 120.00 90.00
Element x y z (fractional)
Sc (0.239, 0.715, 0.976)
Sc (0.239, 0.715, 0.478)
Sc (0.260, 0.281, 0.520)
Sc (0.737, 0.715, 0.976)
Sc (0.263, 0.285, 0.024)
Sc (0.740, 0.719, 0.480)
Sc (0.761, 0.285, 0.522)
Sc (0.761, 0.285, 0.024)
Ge (0.500, 0.500, 0.000)
Ge (0.500, 0.500, 0.500)
Ge (0.000, 0.500, 0.500)
Te (0.500, 0.000, 0.000)
Te (0.500, 0.000, 0.500)
Te (0.000, 0.000, 0.000)
Te (0.000, 0.000, 0.500)
S (0.000, 0.500, 0.000)

Summary:
* uncorrected formation energy: -1.16 eV per atom
* density of states at the Fermi level: 4.74 states/eV/cell
* SG: No. 166

***

# 12
This record from Alexandria describes a geometry-optimized Sc6GeTe3S2 structure. The functional is PBE-GGA.

a b c (Å): 6.775 6.775 7.029
angles (deg): 99.24 99.24 119.95
Element x y z (fractional)
Sc (0.931, 0.594, 0.793)
Sc (0.731, 0.731, 0.205)
Sc (0.069, 0.406, 0.207)
Sc (0.594, 0.931, 0.793)
Sc (0.269, 0.269, 0.795)
Sc (0.406, 0.069, 0.207)
Ge (0.000, 0.000, 0.000)
Te (0.165, 0.835, 0.500)
Te (0.835, 0.165, 0.500)
Te (0.500, 0.500, 0.500)
S (0.333, 0.667, 0.000)
S (0.667, 0.333, 0.000)

Summary:
* uncorrected formation energy: -1.36 eV per atom
* density of states at the Fermi level: 5.76 states/eV/cell
* SG: No. 12

***

What is the density of states at the Fermi level in the eleventh record?
4.74 states/eV/cell

***

What is the uncorrected formation energy in the seventh record?
-1.27 eV per atom

***

Please write out number 11 again, unchanged.
This record from Alexandria describes a geometry-optimized Sc8Ge3Te4S structure. The functional is PBE-GGA.

a b c (Å): 7.963 8.107 7.963
angles (deg): 119.42 120.00 90.00
Element x y z (fractional)
Sc (0.239, 0.715, 0.976)
Sc (0.239, 0.715, 0.478)
Sc (0.260, 0.281, 0.520)
Sc (0.737, 0.715, 0.976)
Sc (0.263, 0.285, 0.024)
Sc (0.740, 0.719, 0.480)
Sc (0.761, 0.285, 0.522)
Sc (0.761, 0.285, 0.024)
Ge (0.500, 0.500, 0.000)
Ge (0.500, 0.500, 0.500)
Ge (0.000, 0.500, 0.500)
Te (0.500, 0.000, 0.000)
Te (0.500, 0.000, 0.500)
Te (0.000, 0.000, 0.000)
Te (0.000, 0.000, 0.500)
S (0.000, 0.500, 0.000)

Summary:
* uncorrected formation energy: -1.16 eV per atom
* density of states at the Fermi level: 4.74 states/eV/cell
* SG: No. 166

***

Among the records above, which one has the lowest uncorrected formation energy?
Sc6GeSe3S2